Entry 1:
First-principles (PBE-GGA) data for crystalline CuPb2Cl8 at its relaxed geometry, as listed in the Alexandria database.

Calculated values
**ΔE_f (raw)**: -0.66 eV/atom

CIF file:
```
data_CuPb2Cl8
_cell_length_a 14.4180
_cell_length_b 10.6800
_cell_length_c 5.7472
_cell_angle_alpha 90.00
_cell_angle_beta 94.56
_cell_angle_gamma 90.00
_space_group_name_H-M_alt 'C 1 2/m 1'
_space_group_IT_number 12
loop_
_space_group_symop_operation_xyz
'x,y,z'
'-x,-y,-z'
'-x,y,-z'
'x,-y,z'
'x+1/2,y+1/2,z'
'-x+1/2,-y+1/2,-z'
'-x+1/2,y+1/2,-z'
'x+1/2,-y+1/2,z'
loop_
_atom_site_label
_atom_site_type_symbol
_atom_site_fract_x
_atom_site_fract_y
_atom_site_fract_z
Cu1 Cu 0.0000 0.0000 0.0000
Pb1 Pb 0.2241 0.0000 0.7837
Cl1 Cl 0.0703 0.5000 0.0527
Cl2 Cl 0.0797 0.1540 0.8183
Cl3 Cl 0.2109 0.0000 0.3256
```


Entry 2:
First-principles (PBE-GGA) data for crystalline Dy12Er7Zr at its relaxed geometry, as listed in the Alexandria database.

Calculated values
**ΔE to the lowest computed polymorph**: 526 meV/atom

CIF file:
```
data_Dy12Er7Zr
_cell_length_a 11.3101
_cell_length_b 11.3101
_cell_length_c 11.3101
_cell_angle_alpha 90.00
_cell_angle_beta 90.00
_cell_angle_gamma 90.00
_space_group_name_H-M_alt 'I m -3'
_space_group_IT_number 204
_space_group_name_Hall '-I 2 2 3'
loop_
_atom_site_label
_atom_site_type_symbol
_atom_site_fract_x
_atom_site_fract_y
_atom_site_fract_z
Dy1 Dy 0.0000 0.2192 0.2204
Er1 Er 0.0000 0.0000 0.5000
Er2 Er 0.2500 0.2500 0.2500
Zr1 Zr 0.0000 0.0000 0.0000
```


Entry 3:
First-principles (PBE-GGA) data for crystalline IrSIO2 at its relaxed geometry, as listed in the Alexandria database.

Calculated values
**ΔE_f (raw)**: 0.68 eV/atom

CIF file:
```
data_IrSIO2
_cell_length_a 3.6485
_cell_length_b 3.6485
_cell_length_c 7.8072
_cell_angle_alpha 90.00
_cell_angle_beta 90.00
_cell_angle_gamma 90.00
_space_group_name_H-M_alt 'P 4/m m m'
_space_group_IT_number 123
_space_group_name_Hall '-P 4 2'
loop_
_atom_site_label
_atom_site_type_symbol
_atom_site_fract_x
_atom_site_fract_y
_atom_site_fract_z
Ir1 Ir 0.0000 0.0000 0.0000
S1 S 0.5000 0.5000 0.5000
I1 I 0.5000 0.5000 0.0000
O1 O 0.0000 0.5000 0.5000
```


Entry 4:
First-principles (PBE-GGA) data for crystalline ThNpS at its relaxed geometry, as listed in the Alexandria database.

Calculated values
**ΔE_f (raw)**: -0.48 eV/atom

CIF file:
```
data_ThNpS
_cell_length_a 13.1942
_cell_length_b 3.5976
_cell_length_c 7.7535
_cell_angle_alpha 90.00
_cell_angle_beta 121.74
_cell_angle_gamma 90.00
_space_group_name_H-M_alt 'C 1 2/m 1'
_space_group_IT_number 12
loop_
_space_group_symop_operation_xyz
'x,y,z'
'-x,-y,-z'
'-x,y,-z'
'x,-y,z'
'x+1/2,y+1/2,z'
'-x+1/2,-y+1/2,-z'
'-x+1/2,y+1/2,-z'
'x+1/2,-y+1/2,z'
loop_
_atom_site_label
_atom_site_type_symbol
_atom_site_fract_x
_atom_site_fract_y
_atom_site_fract_z
Th1 Th 0.1539 0.0000 0.0611
Np1 Np 0.1185 0.0000 0.4814
S1 S 0.0885 0.5000 0.7347
```


Entry 5:
First-principles (PBE-GGA) data for crystalline La2GePPd6 at its relaxed geometry, as listed in the Alexandria database.

CIF file:
```
data_La2GePPd6
_cell_length_a 5.5861
_cell_length_b 8.8278
_cell_length_c 8.1374
_cell_angle_alpha 90.00
_cell_angle_beta 90.00
_cell_angle_gamma 90.00
_space_group_name_H-M_alt 'P m m n'
_space_group_IT_number 59
loop_
_space_group_symop_operation_xyz
'x,y,z'
'-x,-y,-z'
'-x+1/2,-y+1/2,z'
'x+1/2,y+1/2,-z'
'x+1/2,-y,-z'
'-x+1/2,y,z'
'-x,y+1/2,-z'
'x,-y+1/2,z'
loop_
_atom_site_label
_atom_site_type_symbol
_atom_site_fract_x
_atom_site_fract_y
_atom_site_fract_z
La1 La 0.2500 0.0044 0.2328
Ge1 Ge 0.2500 0.7500 0.7713
P1 P 0.2500 0.2500 0.7417
Pd1 Pd 0.0000 0.2500 0.4950
Pd2 Pd 0.0037 0.2500 0.9796
Pd3 Pd 0.2500 0.0021 0.6192
```


Entry 6:
First-principles (PBE-GGA) data for crystalline Y2MgAs2 at its relaxed geometry, as listed in the Alexandria database.

CIF file:
```
data_Y2MgAs2
_cell_length_a 7.6408
_cell_length_b 7.6408
_cell_length_c 3.9053
_cell_angle_alpha 90.00
_cell_angle_beta 90.00
_cell_angle_gamma 90.00
_space_group_name_H-M_alt 'P 4/m b m'
_space_group_IT_number 127
_space_group_name_Hall '-P 4 2ab'
loop_
_atom_site_label
_atom_site_type_symbol
_atom_site_fract_x
_atom_site_fract_y
_atom_site_fract_z
Y1 Y 0.1561 0.3439 0.0000
Mg1 Mg 0.0000 0.0000 0.5000
As1 As 0.1522 0.6522 0.5000
```


no.,DFT total energy (eV/cell)
1,-67.02
2,-159.76
3,-21.05
4,-103.74
5,-118.44
6,-58.80